Here is LaAlGe after structural relaxation from Alexandria via LeMat-Bulk. Energies are from PBEsol.

The structure in POSCAR format:
```
LaAlGe
1.0
-2.1528 2.1528 7.3662
2.1528 -2.1528 7.3662
2.1528 2.1528 -7.3662
La Al Ge
2 2 2
direct
0.0000 0.0000 0.0000
0.7500 0.2500 0.5000
0.3337 0.8337 0.5000
0.5837 0.5837 0.0000
0.1671 0.6671 0.5000
0.4171 0.4171 0.0000
```

Calculated values
magnetization	0.00	Bohr magnetons per cell
crystal system	tetragonal
formation energy	-2.22	eV/f.u.

---

Here is InFeI2N after structural relaxation from Alexandria via LeMat-Bulk. Energies are from PBEsol.

The structure in POSCAR format:
```
InFeI2N
1.0
5.4966 0.0000 0.0000
0.0000 5.4966 0.0000
0.0000 0.0000 3.5223
In Fe I N
1 1 2 1
direct
0.0000 0.0000 0.0000
0.5000 0.5000 0.5000
0.0000 0.5000 0.5000
0.5000 0.0000 0.5000
0.5000 0.5000 0.0000
```

Calculated values
magnetization	0.00	Bohr magnetons per cell
crystal system	tetragonal
formation energy from raw total energies	154.0	meV per atom

---

Here is TlInPb after structural relaxation from Alexandria via LeMat-Bulk. Energies are from PBEsol.

The structure in POSCAR format:
```
TlInPb
1.0
0.0000 3.6107 3.6107
3.6107 0.0000 3.6107
3.6107 3.6107 0.0000
Tl In Pb
1 1 1
direct
0.0000 0.0000 0.0000
0.2500 0.2500 0.2500
0.7500 0.7500 0.7500
```

Calculated values
polymorph energy (0 for the lowest one)	171	meV/atom
magnetization	0.00	Bohr magnetons per cell
crystal system	cubic
formation energy	0.54	eV/f.u.

---

The total energy results, record by record, are as follows: -0.40656, -0.34157, -0.22230 Ry per atom.